Below is a geometry-optimized La2NdGe structure, with properties calculated at the GGA-PBE level.

Values from the calculation:
SG	Fm-3m, No. 225
ρ	6.9	Mg/m³
formation enthalpy at 0 K	-0.144	eV per atom
energy relative to the lowest polymorph listed for this composition	313	meV per atom
spin magnetization	0.00	μB/cell

The structure in extended XYZ format:
```
4
Lattice="5.510 0.000 0.000 2.755 4.772 0.000 2.755 1.591 4.502" Properties=species:S:1:pos:R:3 pbc="T T T"
Ge 5.510 3.181 2.251
Nd 0.000 0.000 0.000
La 2.755 1.591 1.126
La 8.265 4.772 3.376
```



Below is a geometry-optimized LaNd4Ge4 structure, with properties calculated at the GGA-PBE level.

Values from the calculation:
SG	P4_2/n, No. 86
ρ	6.2	Mg/m³
formation enthalpy at 0 K	-0.560	eV per atom
spin magnetization	0.42	μB/cell

The structure in extended XYZ format:
```
18
Lattice="-5.083 -3.172 -0.830 3.158 -2.851 -8.442 4.037 -7.527 4.052" Properties=species:S:1:pos:R:3 pbc="T T T"
La 0.000 0.000 0.000
La 1.056 -6.775 -2.610
Nd 2.722 -8.980 0.684
Nd 0.666 -10.647 -2.398
Nd 0.558 -3.841 -5.713
Nd 2.370 -5.322 0.758
Nd 2.501 -9.680 -5.432
Nd 3.655 -5.786 -5.339
Nd -2.468 -5.347 -3.461
Nd -1.559 -4.601 0.021
Ge 0.786 -6.967 -5.585
Ge 0.090 -7.355 0.164
Ge 5.042 -8.301 -4.511
Ge -0.081 -10.120 0.449
Ge -1.656 -5.832 -6.297
Ge 0.139 -3.927 -2.529
Ge 3.207 -8.853 -2.489
Ge 0.917 -2.849 -0.081
```



Below is a geometry-optimized La3NdGe2 structure, with properties calculated at the GGA-PBE level.

Values from the calculation:
SG	C2/m, No. 12
ρ	6.5	Mg/m³
formation enthalpy at 0 K	-0.583	eV per atom
energy relative to the lowest polymorph listed for this composition	27	meV per atom
spin magnetization	0.01	μB/cell

The structure in extended XYZ format:
```
12
Lattice="-1.493 3.037 3.007 -7.297 0.062 -7.096 0.722 -6.673 7.099" Properties=species:S:1:pos:R:3 pbc="T T T"
La -4.639 -2.413 0.134
La -7.566 -1.067 0.728
La -2.629 -3.582 5.721
La -5.440 0.009 -2.711
La -0.502 -2.507 2.282
La -3.429 -1.160 2.877
Nd -6.294 -3.262 3.578
Nd -1.775 -0.311 -0.567
Ge -7.338 -4.167 0.564
Ge -0.730 0.594 2.446
Ge -4.725 0.735 0.319
Ge -3.344 -4.308 2.691
```



Below is a geometry-optimized La2NdGe structure, with properties calculated at the GGA-PBE level.

Values from the calculation:
SG	P4/mmm, No. 123
ρ	7.1	Mg/m³
formation enthalpy at 0 K	-0.377	eV per atom
energy relative to the lowest polymorph listed for this composition	80	meV per atom
spin magnetization	0.00	μB/cell

The structure in extended XYZ format:
```
4
Lattice="-2.462 -3.432 2.560 1.161 -3.309 -3.319 4.021 -1.054 2.456" Properties=species:S:1:pos:R:3 pbc="T T T"
Ge -1.231 -1.716 1.280
Nd 1.360 -3.897 0.848
La 2.011 -0.527 1.228
La 0.580 -1.654 -1.660
```



Below is a geometry-optimized LaNd2Ge6 structure, with properties calculated at the GGA-PBE level.

Values from the calculation:
SG	P6/mmm, No. 191
ρ	6.8	Mg/m³
formation enthalpy at 0 K	-0.609	eV per atom
spin magnetization	0.00	μB/cell

The structure in extended XYZ format:
```
9
Lattice="-3.915 0.963 0.857 -0.929 2.614 -7.189 -1.461 -7.387 1.632" Properties=species:S:1:pos:R:3 pbc="T T T"
La -1.461 -7.387 1.632
Nd -1.284 -4.054 -1.308
Nd -5.021 0.244 -3.392
Ge -2.759 -1.119 -1.435
Ge -3.546 -2.691 -3.265
Ge -2.928 -4.428 1.513
Ge -4.036 -5.168 -2.717
Ge -2.269 1.358 -1.983
Ge -3.377 0.618 -6.213
```



Below is a geometry-optimized La2Nd3Ge2 structure, with properties calculated at the GGA-PBE level.

Values from the calculation:
SG	C2/m, No. 12
ρ	6.6	Mg/m³
formation enthalpy at 0 K	-0.518	eV per atom
spin magnetization	0.00	μB/cell

The structure in extended XYZ format:
```
7
Lattice="4.200 0.000 1.121 1.669 5.876 2.176 -0.128 0.603 8.905" Properties=species:S:1:pos:R:3 pbc="T T T"
La 1.461 3.082 2.953
La 4.280 3.397 9.250
Nd 2.100 0.000 0.561
Nd 2.855 5.059 6.160
Nd 2.886 1.419 6.043
Ge 2.058 5.628 9.144
Ge 3.683 0.850 3.059
```



Below is a geometry-optimized La5Nd5Ge6 structure, with properties calculated at the GGA-PBE level.

Values from the calculation:
SG	Amm2, No. 38
ρ	6.5	Mg/m³
formation enthalpy at 0 K	-0.700	eV per atom
spin magnetization	0.00	μB/cell

The structure in extended XYZ format:
```
16
Lattice="-0.358 4.450 -5.140 8.236 -2.322 -2.583 -7.082 -4.357 -3.279" Properties=species:S:1:pos:R:3 pbc="T T T"
La -0.886 -6.101 -5.220
La 2.906 -5.597 -5.048
La 0.688 -2.795 -6.976
La 1.852 1.648 -3.211
La -1.923 1.146 -3.383
Nd -2.242 -0.336 -6.903
Nd 2.858 0.341 -6.671
Nd 3.037 -1.888 -4.096
Nd -2.063 -2.566 -4.328
Nd 0.288 -1.670 -1.466
Ge 0.697 -4.034 -3.541
Ge 3.215 -0.922 -1.022
Ge -2.760 -1.716 -1.294
Ge 0.276 -0.411 -4.884
Ge 4.809 0.818 -4.136
Ge -4.467 -0.415 -4.557
```



Below is a geometry-optimized La2NdGe structure, with properties calculated at the GGA-PBE level.

Values from the calculation:
SG	P2_1/m, No. 11
ρ	6.4	Mg/m³
formation enthalpy at 0 K	-0.457	eV per atom
energy relative to the lowest polymorph listed for this composition	0	meV per atom
spin magnetization	0.00	μB/cell

The structure in extended XYZ format:
```
8
Lattice="-1.253 0.902 3.940 -2.069 -6.131 -1.531 8.206 -3.629 3.440" Properties=species:S:1:pos:R:3 pbc="T T T"
La 2.870 -3.259 1.655
La 2.014 -5.598 4.194
La 5.210 -7.012 5.534
La -0.327 -1.846 0.315
Nd -0.269 -5.798 1.236
Nd 5.153 -3.060 4.613
Ge 0.047 -3.361 3.052
Ge 4.836 -5.497 2.797
```



Below is a geometry-optimized LaNd5Ge4 structure, with properties calculated at the GGA-PBE level.

Values from the calculation:
SG	C2/m, No. 12
ρ	6.6	Mg/m³
formation enthalpy at 0 K	-0.630	eV per atom
spin magnetization	0.00	μB/cell

The structure in extended XYZ format:
```
10
Lattice="-4.155 -1.699 2.652 -3.786 -0.114 -6.003 8.134 -6.484 3.463" Properties=species:S:1:pos:R:3 pbc="T T T"
La -2.077 -0.850 1.326
Nd -0.575 -5.852 0.476
Nd 1.384 -5.775 3.592
Nd -1.190 -2.521 -3.480
Nd -3.970 -0.907 -1.675
Nd 0.768 -2.445 -0.363
Ge 0.509 -4.803 -2.281
Ge 1.116 -8.120 1.671
Ge -0.315 -3.494 2.393
Ge -0.922 -0.177 -1.558
```



Below is a geometry-optimized La2NdGe structure, with properties calculated at the GGA-PBE level.

Values from the calculation:
SG	P4/mmm, No. 123
ρ	6.7	Mg/m³
formation enthalpy at 0 K	-0.348	eV per atom
energy relative to the lowest polymorph listed for this composition	110	meV per atom
spin magnetization	0.37	μB/cell

The structure in extended XYZ format:
```
4
Lattice="4.044 0.000 0.000 0.000 4.044 0.000 0.000 0.000 7.521" Properties=species:S:1:pos:R:3 pbc="T T T"
Ge 2.022 2.022 0.000
Nd 2.022 2.022 3.760
La 0.000 0.000 6.016
La 0.000 0.000 1.505
```



Below is a geometry-optimized LaNdNiGe structure, with properties calculated at the GGA-PBE level.

Values from the calculation:
SG	F-43m, No. 216
ρ	7.1	Mg/m³
formation enthalpy at 0 K	-0.444	eV per atom
spin magnetization	0.00	μB/cell

The structure in extended XYZ format:
```
4
Lattice="-2.897 4.003 1.454 -1.346 0.545 4.942 2.062 3.779 2.829" Properties=species:S:1:pos:R:3 pbc="T T T"
Ni -1.636 6.246 6.919
Ge -0.545 2.082 2.306
Nd -1.090 4.164 4.613
La 0.000 0.000 0.000
```



Below is a geometry-optimized La2NdNi2Ge2 structure, with properties calculated at the GGA-PBE level.

Values from the calculation:
SG	R-3m, No. 166
ρ	7.2	Mg/m³
formation enthalpy at 0 K	-0.605	eV per atom
spin magnetization	0.00	μB/cell

The structure in extended XYZ format:
```
7
Lattice="4.300 0.000 0.000 2.150 3.724 0.000 2.150 1.241 9.876" Properties=species:S:1:pos:R:3 pbc="T T T"
La 2.150 1.241 6.176
La 6.449 3.724 3.699
Nd 0.000 0.000 0.000
Ni 4.300 2.482 1.884
Ni 4.300 2.482 7.991
Ge 6.449 3.724 7.915
Ge 2.150 1.241 1.960
```



Below is a geometry-optimized LaNdGe2Pd2 structure, with properties calculated at the GGA-PBE level.

Values from the calculation:
SG	P-3m1, No. 164
ρ	7.8	Mg/m³
formation enthalpy at 0 K	-0.913	eV per atom
spin magnetization	0.00	μB/cell

The structure in extended XYZ format:
```
6
Lattice="-1.989 1.402 3.616 -2.351 -1.632 -3.288 0.652 -7.589 3.301" Properties=species:S:1:pos:R:3 pbc="T T T"
La 0.000 0.000 0.000
Nd 0.326 -3.794 1.650
Ge -2.065 -2.543 -0.150
Ge -1.623 -5.276 3.779
Pd -1.747 -6.243 1.459
Pd -1.941 -1.576 2.170
```



Below is a geometry-optimized LaNdGePd structure, with properties calculated at the GGA-PBE level.

Values from the calculation:
SG	Amm2, No. 38
ρ	7.4	Mg/m³
formation enthalpy at 0 K	-0.832	eV per atom
energy relative to the lowest polymorph listed for this composition	0	meV per atom
spin magnetization	0.00	μB/cell

The structure in extended XYZ format:
```
4
Lattice="-2.658 -1.110 -3.002 3.233 0.173 -2.927 2.516 -4.958 2.487" Properties=species:S:1:pos:R:3 pbc="T T T"
La 1.144 -4.446 -2.253
Nd 0.322 -1.496 0.268
Ge 0.480 -1.363 -2.805
Pd 1.003 -4.657 0.833
```



Below is a geometry-optimized LaNdGePd structure, with properties calculated at the GGA-PBE level.

Values from the calculation:
SG	F-43m, No. 216
ρ	7.6	Mg/m³
formation enthalpy at 0 K	-0.731	eV per atom
energy relative to the lowest polymorph listed for this composition	102	meV per atom
spin magnetization	0.00	μB/cell

The structure in extended XYZ format:
```
4
Lattice="-4.958 -1.625 0.329 -1.043 -5.023 1.009 -1.999 -1.376 4.631" Properties=species:S:1:pos:R:3 pbc="T T T"
Ge -2.000 -2.006 1.492
Nd 0.000 0.000 0.000
Pd -6.000 -6.018 4.477
La -4.000 -4.012 2.985
```



Below is a geometry-optimized LaNdGe2Pd5 structure, with properties calculated at the GGA-PBE level.

Values from the calculation:
SG	P4/mmm, No. 123
ρ	9.2	Mg/m³
formation enthalpy at 0 K	-0.822	eV per atom
spin magnetization	0.00	μB/cell

The structure in extended XYZ format:
```
9
Lattice="-4.122 1.278 0.726 -1.431 -2.998 -2.848 -0.690 -6.033 6.697" Properties=species:S:1:pos:R:3 pbc="T T T"
La 0.000 0.000 0.000
Nd -0.345 -3.016 3.349
Ge -2.874 -1.708 -0.119
Ge -3.370 -6.045 4.695
Pd -0.906 -3.162 0.421
Pd -2.251 -1.023 2.209
Pd -1.216 -5.870 3.428
Pd -2.561 -3.731 5.215
Pd -3.122 -3.877 2.288
```



Below is a geometry-optimized La2PrNdGe2 structure, with properties calculated at the GGA-PBE level.

Values from the calculation:
SG	Pmc2_1, No. 26
ρ	6.7	Mg/m³
formation enthalpy at 0 K	-0.583	eV per atom
spin magnetization	0.01	μB/cell

The structure in extended XYZ format:
```
12
Lattice="-4.087 -1.533 1.053 2.733 -7.533 -0.358 2.290 0.382 9.449" Properties=species:S:1:pos:R:3 pbc="T T T"
La -1.736 -1.064 1.286
La 1.396 -2.766 1.393
La 1.545 -4.511 9.005
La 4.313 -6.274 7.608
Pr -0.147 -1.550 6.748
Pr 0.470 -5.442 3.476
Nd 3.611 -7.161 3.592
Nd 2.625 -3.331 5.340
Ge 2.704 -1.699 8.026
Ge -0.522 -2.496 3.914
Ge 2.424 -5.740 1.051
Ge 1.449 -6.162 6.230
```



Below is a geometry-optimized LaPrNd2Ge2 structure, with properties calculated at the GGA-PBE level.

Values from the calculation:
SG	Pmc2_1, No. 26
ρ	6.8	Mg/m³
formation enthalpy at 0 K	-0.582	eV per atom
spin magnetization	0.01	μB/cell

The structure in extended XYZ format:
```
12
Lattice="-0.487 -3.901 -2.170 6.033 1.994 -4.938 6.262 -4.113 5.990" Properties=species:S:1:pos:R:3 pbc="T T T"
La 8.492 0.229 -2.315
La 6.515 -1.452 1.149
Pr 4.777 -4.395 2.185
Pr 5.742 -2.051 -2.247
Nd 0.515 -2.211 -0.786
Nd 3.293 0.070 -0.864
Nd 8.758 -4.647 1.744
Nd 10.508 -1.691 0.684
Ge 7.014 -3.050 3.911
Ge 3.533 -2.930 -0.170
Ge 5.418 0.976 -2.970
Ge 8.299 -3.082 -0.966
```



Below is a geometry-optimized LaNdGe2Pt5 structure, with properties calculated at the GGA-PBE level.

Values from the calculation:
SG	P4/mmm, No. 123
ρ	13.4	Mg/m³
formation enthalpy at 0 K	-0.921	eV per atom
spin magnetization	0.00	μB/cell

The structure in extended XYZ format:
```
9
Lattice="4.397 0.000 0.000 0.000 4.397 0.000 0.000 0.000 9.002" Properties=species:S:1:pos:R:3 pbc="T T T"
La 0.000 0.000 0.000
Nd 0.000 0.000 4.501
Ge 2.198 2.198 1.276
Ge 2.198 2.198 7.726
Pt 0.000 2.198 2.455
Pt 2.198 0.000 2.455
Pt 0.000 2.198 6.547
Pt 2.198 0.000 6.547
Pt 2.198 2.198 4.501
```



Below is a geometry-optimized La2NdGe4Pt3 structure, with properties calculated at the GGA-PBE level.

Values from the calculation:
SG	P-4m2, No. 115
ρ	9.8	Mg/m³
formation enthalpy at 0 K	-0.915	eV per atom
spin magnetization	0.00	μB/cell

The structure in extended XYZ format:
```
10
Lattice="4.397 0.000 0.000 0.000 4.397 0.000 0.000 0.000 11.388" Properties=species:S:1:pos:R:3 pbc="T T T"
La 2.199 0.000 2.575
La 0.000 2.199 8.813
Nd 2.199 2.199 5.694
Ge 2.199 2.199 0.000
Ge 0.000 0.000 0.000
Ge 2.199 0.000 7.616
Ge 0.000 2.199 3.771
Pt 0.000 0.000 5.694
Pt 2.199 0.000 10.106
Pt 0.000 2.199 1.282
```